# Th6Sb3H | the Alexandria database | PBE-GGA | optimized geometry
data_Th6Sb3H
_chemical_formula_sum 'Th12 Sb6 H2'
_symmetry_space_group_name_H-M 'P 1'
_symmetry_Int_Tables_number 1
_cell_length_a 10.166
_cell_length_b 10.166
_cell_length_c 5.634
_cell_angle_alpha 90.00
_cell_angle_beta 90.00
_cell_angle_gamma 108.28
loop_
_symmetry_equiv_pos_as_xyz
'x,y,z'
loop_
_atom_site_label
_atom_site_fract_x
_atom_site_fract_y
_atom_site_fract_z
Th1 0.073 0.927 0.500
Th2 0.090 0.566 0.347
Th3 0.245 0.755 0.850
Th4 0.260 0.408 0.996
Th5 0.408 0.260 0.496
Th6 0.434 0.910 0.347
Th7 0.566 0.090 0.847
Th8 0.592 0.740 0.996
Th9 0.740 0.592 0.496
Th10 0.755 0.245 0.350
Th11 0.910 0.434 0.847
Th12 0.927 0.073 0.000
Sb1 0.074 0.255 0.512
Sb2 0.255 0.074 0.012
Sb3 0.410 0.590 0.503
Sb4 0.590 0.410 0.004
Sb5 0.745 0.926 0.512
Sb6 0.926 0.745 0.012
H1 0.209 0.791 0.449
H2 0.791 0.209 0.949
# Space group   No. 36
# Uncorrected energy   -6.527 eV/atom
# M_tot   0.000 μB/atom